# 1
Density functional theory data (GGA-PBEsol) for GeP3 after structural relaxation. Values from VASP.

Quantum ESPRESSO input file:
```
&SYSTEM
  ibrav = 0, nat = 8, ntyp = 2
/
ATOMIC_SPECIES
Ge 72.64 Ge.upf
P 30.97 P.upf
CELL_PARAMETERS angstrom
5.159 -0.076 -0.069
0.446 5.141 -0.069
0.446 0.403 5.125
ATOMIC_POSITIONS angstrom
Ge 1.582 1.430 1.304
Ge 4.468 4.038 3.683
P 2.040 4.320 3.941
P 1.546 1.397 3.762
P 4.010 1.147 1.046
P 4.504 4.070 1.225
P 4.504 1.593 3.941
P 1.546 3.874 1.046
```

Output
energy of formation: -22 meV per atom
magnetization: 0.00 μB/f.u.
E: -5.600 eV/atom

# 2
Density functional theory data (GGA-PBEsol) for GeP3Pb after structural relaxation. Values from VASP.

Quantum ESPRESSO input file:
```
&SYSTEM
  ibrav = 0, nat = 5, ntyp = 3
/
ATOMIC_SPECIES
P 30.97 P.upf
Pb 207.20 Pb.upf
Ge 72.64 Ge.upf
CELL_PARAMETERS angstrom
4.727 0.000 0.000
0.000 4.727 0.000
0.000 0.000 4.727
ATOMIC_POSITIONS angstrom
P 0.000 2.363 0.000
P 0.000 0.000 2.363
P 2.363 0.000 0.000
Pb 2.363 2.363 2.363
Ge 0.000 0.000 0.000
```

Output
energy of formation: 677 meV per atom
magnetization: 0.00 μB/f.u.
E: -4.585 eV/atom

# 3
Density functional theory data (GGA-PBEsol) for Ge2PPdPb after structural relaxation. Values from VASP.

Quantum ESPRESSO input file:
```
&SYSTEM
  ibrav = 0, nat = 5, ntyp = 4
/
ATOMIC_SPECIES
Ge 72.64 Ge.upf
Pd 106.42 Pd.upf
P 30.97 P.upf
Pb 207.20 Pb.upf
CELL_PARAMETERS angstrom
4.528 0.000 0.000
0.000 4.528 0.000
0.000 0.000 5.490
ATOMIC_POSITIONS angstrom
Ge 2.264 0.000 0.000
Ge 0.000 2.264 0.000
Pd 2.264 2.264 2.745
P 0.000 0.000 0.000
Pb 0.000 0.000 2.745
```

Output
energy of formation: 670 meV per atom
magnetization: 0.00 μB/f.u.
E: -4.455 eV/atom

# 4
Density functional theory data (GGA-PBEsol) for GePPt3 after structural relaxation. Values from VASP.

Quantum ESPRESSO input file:
```
&SYSTEM
  ibrav = 0, nat = 5, ntyp = 3
/
ATOMIC_SPECIES
Pt 195.08 Pt.upf
Ge 72.64 Ge.upf
P 30.97 P.upf
CELL_PARAMETERS angstrom
-1.658 2.438 -3.494
2.153 -2.756 -2.945
-3.676 -2.714 -0.148
ATOMIC_POSITIONS angstrom
Pt -0.829 1.219 -1.747
Pt -1.838 -1.357 -0.074
Pt 1.077 -1.378 -1.472
Ge 0.000 0.000 0.000
P -1.591 -1.516 -3.294
```

Output
energy of formation: 866 meV per atom
magnetization: 0.00 μB/f.u.
E: -5.458 eV/atom

# 5
Density functional theory data (GGA-PBEsol) for Rb5GeP3 after structural relaxation. Values from VASP.

Quantum ESPRESSO input file:
```
&SYSTEM
  ibrav = 0, nat = 36, ntyp = 3
/
ATOMIC_SPECIES
Rb 85.47 Rb.upf
P 30.97 P.upf
Ge 72.64 Ge.upf
CELL_PARAMETERS angstrom
5.367 0.000 0.000
0.000 14.729 0.000
0.000 0.000 15.244
ATOMIC_POSITIONS angstrom
Rb 4.025 13.624 14.204
Rb 1.342 8.161 12.328
Rb 1.342 1.105 1.040
Rb 4.025 6.569 2.915
Rb 1.342 3.426 4.116
Rb 4.025 2.636 13.924
Rb 4.025 8.470 6.582
Rb 1.342 6.259 8.662
Rb 4.025 9.205 14.907
Rb 4.025 12.889 7.285
Rb 1.342 5.524 0.337
Rb 4.025 11.304 11.128
Rb 4.025 0.796 10.537
Rb 1.342 13.933 4.706
Rb 4.025 10.790 3.506
Rb 1.342 1.840 7.959
Rb 1.342 3.939 11.738
Rb 1.342 12.093 1.319
Rb 1.342 10.001 8.941
Rb 4.025 4.728 6.302
P 4.025 8.126 10.004
P 4.025 4.215 9.706
P 1.342 13.350 9.586
P 1.342 11.580 13.160
P 1.342 10.514 5.538
P 4.025 5.985 13.279
P 4.025 3.150 2.084
P 1.342 6.604 5.239
P 1.342 0.761 12.861
P 1.342 8.744 1.964
P 4.025 13.968 2.383
P 4.025 1.379 5.657
Ge 1.342 8.636 4.242
Ge 1.342 13.458 11.864
Ge 4.025 1.271 3.380
Ge 4.025 6.094 11.002
```

Output
energy of formation: -317 meV per atom
magnetization: 0.00 μB/f.u.
E: -3.366 eV/atom

# 6
Density functional theory data (GGA-PBEsol) for RbGeP2Rh after structural relaxation. Values from VASP.

Quantum ESPRESSO input file:
```
&SYSTEM
  ibrav = 0, nat = 5, ntyp = 4
/
ATOMIC_SPECIES
P 30.97 P.upf
Rh 102.91 Rh.upf
Ge 72.64 Ge.upf
Rb 85.47 Rb.upf
CELL_PARAMETERS angstrom
4.682 0.000 0.000
0.000 4.859 0.000
0.000 0.000 4.859
ATOMIC_POSITIONS angstrom
P 0.000 2.429 0.000
P 0.000 0.000 2.429
Rh 2.341 0.000 0.000
Ge 0.000 0.000 0.000
Rb 2.341 2.429 2.429
```

Output
energy of formation: 614 meV per atom
magnetization: 0.00 μB/f.u.
E: -4.524 eV/atom

# 7
Density functional theory data (GGA-PBEsol) for Rb4GeP4S12 after structural relaxation. Values from VASP.

Quantum ESPRESSO input file:
```
&SYSTEM
  ibrav = 0, nat = 42, ntyp = 4
/
ATOMIC_SPECIES
S 32.06 S.upf
Ge 72.64 Ge.upf
P 30.97 P.upf
Rb 85.47 Rb.upf
CELL_PARAMETERS angstrom
-3.943 -4.561 -4.168
2.367 -0.303 -6.930
13.652 -19.069 1.798
ATOMIC_POSITIONS angstrom
S 8.985 -12.376 -5.791
S 3.483 -9.224 -9.371
S 6.798 -9.714 -4.576
S 2.382 -5.900 -7.788
S 8.656 -19.873 -7.748
S 13.767 -18.494 -4.295
S 1.181 -2.843 -6.818
S 5.602 -7.402 -6.677
S 3.091 -11.557 -3.509
S 1.042 -2.667 -3.431
S 9.694 -18.032 -1.512
S 3.420 -4.059 -1.552
S 5.278 -14.219 -4.724
S 8.594 -14.709 0.071
S 5.066 -7.015 -3.373
S 11.034 -21.266 -5.869
S 3.936 -4.103 -5.400
S 6.474 -16.531 -2.624
S 10.895 -21.089 -2.482
S 6.964 -12.811 -2.136
S -1.691 -5.439 -5.005
S 8.140 -19.829 -3.901
S 5.112 -11.122 -7.164
S 7.010 -16.918 -5.927
Ge 6.476 -18.741 -2.898
Ge 5.600 -5.192 -6.402
P 6.329 -7.809 -4.691
P 1.769 -2.637 -1.592
P 9.374 -19.895 -2.137
P 2.702 -4.038 -7.163
P 10.307 -21.296 -7.708
P 4.315 -11.198 -8.973
P 7.761 -12.734 -0.328
P 5.747 -16.123 -4.609
Rb 1.407 -5.823 -3.991
Rb 10.669 -18.110 -5.309
Rb 5.758 -9.638 -1.236
Rb 9.174 -14.722 -3.504
Rb 12.832 -19.006 -0.445
Rb -0.756 -4.927 -8.855
Rb 6.318 -14.294 -8.064
Rb 2.902 -9.210 -5.796
```

Output
magnetization: 0.00 μB/f.u.
E: -4.718 eV/atom
E_form (uncorrected): -680 meV/atom

# 8
Density functional theory data (GGA-PBEsol) for Rb3GePSe7 after structural relaxation. Values from VASP.

Quantum ESPRESSO input file:
```
&SYSTEM
  ibrav = 0, nat = 24, ntyp = 4
/
ATOMIC_SPECIES
Se 78.96 Se.upf
Rb 85.47 Rb.upf
P 30.97 P.upf
Ge 72.64 Ge.upf
CELL_PARAMETERS angstrom
7.183 0.015 -0.013
3.558 9.072 -0.079
0.081 2.368 11.620
ATOMIC_POSITIONS angstrom
Se 7.231 8.880 2.600
Se 5.073 4.876 2.277
Se 3.921 4.795 6.157
Se 5.749 6.580 9.252
Se 7.579 3.685 7.291
Se 6.901 6.661 5.372
Se 7.208 2.526 9.324
Se 1.576 2.062 0.633
Se 1.766 2.417 4.334
Se 3.614 8.930 2.205
Se 9.246 9.394 10.896
Se 3.591 2.575 8.929
Se 9.056 9.038 7.195
Se 3.243 7.770 4.238
Rb 8.607 5.197 2.376
Rb 5.417 9.335 6.963
Rb 5.405 2.120 4.566
Rb 2.215 6.259 9.153
Rb 5.728 9.722 11.418
Rb 5.094 1.734 0.111
P 8.877 10.329 8.930
P 1.944 1.126 2.599
Ge 5.950 5.470 7.265
Ge 4.872 5.986 4.264
```

Output
magnetization: 0.00 μB/f.u.
E: -4.051 eV/atom
E_form (uncorrected): -654 meV/atom

# 9
Density functional theory data (GGA-PBEsol) for RbZn2GeP after structural relaxation. Values from VASP.

Quantum ESPRESSO input file:
```
&SYSTEM
  ibrav = 0, nat = 5, ntyp = 4
/
ATOMIC_SPECIES
Rb 85.47 Rb.upf
Ge 72.64 Ge.upf
P 30.97 P.upf
Zn 65.41 Zn.upf
CELL_PARAMETERS angstrom
4.908 0.000 0.000
0.000 4.920 0.000
0.000 0.000 4.920
ATOMIC_POSITIONS angstrom
Rb 2.454 2.460 2.460
Ge 2.454 0.000 0.000
P 0.000 0.000 0.000
Zn 0.000 0.000 2.460
Zn 0.000 2.460 0.000
```

Output
energy of formation: 393 meV per atom
magnetization: 0.00 μB/f.u.
E: -2.591 eV/atom

# 10
Density functional theory data (GGA-PBEsol) for Ge3PRh after structural relaxation. Values from VASP.

Quantum ESPRESSO input file:
```
&SYSTEM
  ibrav = 0, nat = 5, ntyp = 3
/
ATOMIC_SPECIES
Ge 72.64 Ge.upf
Rh 102.91 Rh.upf
P 30.97 P.upf
CELL_PARAMETERS angstrom
4.523 0.000 0.000
0.000 4.523 0.000
0.000 0.000 4.523
ATOMIC_POSITIONS angstrom
Ge 0.000 2.261 0.000
Ge 2.261 0.000 0.000
Ge 0.000 0.000 2.261
Rh 2.261 2.261 2.261
P 0.000 0.000 0.000
```

Output
energy of formation: 850 meV per atom
magnetization: 0.00 μB/f.u.
E: -4.899 eV/atom

# 11
Density functional theory data (GGA-PBEsol) for GeP2SeS after structural relaxation. Values from VASP.

Quantum ESPRESSO input file:
```
&SYSTEM
  ibrav = 0, nat = 5, ntyp = 4
/
ATOMIC_SPECIES
S 32.06 S.upf
Ge 72.64 Ge.upf
P 30.97 P.upf
Se 78.96 Se.upf
CELL_PARAMETERS angstrom
4.459 0.000 0.000
0.000 4.712 0.000
0.000 0.000 4.712
ATOMIC_POSITIONS angstrom
S 2.230 0.000 0.000
Ge 0.000 0.000 0.000
P 0.000 2.356 0.000
P 0.000 0.000 2.356
Se 2.230 2.356 2.356
```

Output
magnetization: 0.00 μB/f.u.
E: -4.057 eV/atom
E_form (uncorrected): 895 meV/atom

# 12
Density functional theory data (GGA-PBEsol) for SnGePS2 after structural relaxation. Values from VASP.

Quantum ESPRESSO input file:
```
&SYSTEM
  ibrav = 0, nat = 5, ntyp = 4
/
ATOMIC_SPECIES
S 32.06 S.upf
Sn 118.71 Sn.upf
P 30.97 P.upf
Ge 72.64 Ge.upf
CELL_PARAMETERS angstrom
-1.492 -2.804 3.428
3.020 -3.303 -1.387
3.255 1.772 2.867
ATOMIC_POSITIONS angstrom
S 1.510 -1.651 -0.694
S 1.627 0.886 1.433
Sn 2.392 -2.167 2.454
P -0.746 -1.402 1.714
Ge 0.000 0.000 0.000
```

Output
magnetization: 0.00 μB/f.u.
E: -4.471 eV/atom
E_form (uncorrected): 281 meV/atom

E of number 12 (SnGePS2)? -4.471 eV/atom

Among the records above, which one has the highest E? RbZn2GeP

Repeat the second record exactly.
Density functional theory data (GGA-PBEsol) for GeP3Pb after structural relaxation. Values from VASP.

Quantum ESPRESSO input file:
```
&SYSTEM
  ibrav = 0, nat = 5, ntyp = 3
/
ATOMIC_SPECIES
P 30.97 P.upf
Pb 207.20 Pb.upf
Ge 72.64 Ge.upf
CELL_PARAMETERS angstrom
4.727 0.000 0.000
0.000 4.727 0.000
0.000 0.000 4.727
ATOMIC_POSITIONS angstrom
P 0.000 2.363 0.000
P 0.000 0.000 2.363
P 2.363 0.000 0.000
Pb 2.363 2.363 2.363
Ge 0.000 0.000 0.000
```

Output
energy of formation: 677 meV per atom
magnetization: 0.00 μB/f.u.
E: -4.585 eV/atom